# 1
{
  "formula": "LaAg2Ru",
  "functional": "PBE",
  "state": "relaxed",
  "space_group": "P4/mmm (123)",
  "relative_energy_ev_per_atom": 0.002,
  "vol_a3_per_cell": 80,
  "lattice": [[4.058, 0.000, 0.000], [0.000, 4.058, 0.000], [0.000, 0.000, 4.857]],
  "species": ["La", "Ru", "Ag", "Ag"],
  "frac_coords": [[0.500, 0.000, 0.500], [0.000, 0.500, 0.500], [0.000, 0.000, 0.000], [0.500, 0.500, 0.000]]
}


# 2
{
  "formula": "La5Ag2Ru",
  "functional": "PBE",
  "state": "relaxed",
  "space_group": "Pbam (55)",
  "vol_a3_per_cell": 480,
  "lattice": [[4.878, 0.000, 0.000], [0.000, 8.126, 0.000], [0.000, 0.000, 12.102]],
  "species": ["Ag", "Ag", "Ag", "Ag", "La", "La", "La", "La", "La", "La", "La", "La", "La", "La", "Ru", "Ru"],
  "frac_coords": [[0.500, 0.919, 0.666], [0.500, 0.419, 0.834], [0.500, 0.081, 0.334], [0.500, 0.581, 0.166], [0.500, 0.313, 0.574], [0.000, 0.141, 0.800], [0.000, 0.000, 0.500], [0.000, 0.359, 0.300], [0.500, 0.187, 0.074], [0.500, 0.687, 0.426], [0.000, 0.859, 0.200], [0.000, 0.641, 0.700], [0.500, 0.813, 0.926], [0.000, 0.500, 0.000], [0.000, 0.500, 0.500], [0.000, 0.000, 0.000]]
}


# 3
{
  "formula": "LaAg2Ru",
  "functional": "PBE",
  "state": "relaxed",
  "space_group": "Pmm2 (25)",
  "relative_energy_ev_per_atom": 0.134,
  "vol_a3_per_cell": 83,
  "lattice": [[-0.766, 1.989, -2.715], [-3.401, 0.727, 1.492], [2.398, 5.034, 3.012]],
  "species": ["Ag", "Ag", "La", "Ru"],
  "frac_coords": [[0.000, 0.000, 0.008], [0.500, 0.500, 0.207], [0.000, 0.000, 0.538], [0.500, 0.500, 0.748]]
}


Across the entries above, calculated density takes the values 9.46; 7.00; 9.14 g/cm3, respectively.
Across the entries above, ΔH_f (0 K) takes the values -6; -252; 127 meV per atom, respectively.
Across the entries above, VASP energy takes the values -4.982; -5.204; -4.850 eV per atom, respectively.